1.
Compound: YTm4Al4
Source: the Alexandria database
Functional: PBE-GGA
Structure: relaxed

```
YTm4Al4
1.0
5.566 0.000 0.000
0.000 8.928 0.000
0.000 0.000 8.928
Y Tm Al
2 8 8
Direct
0.000 0.000 0.000 Y
0.500 0.500 0.500 Y
0.406 0.424 0.841 Tm
0.906 0.659 0.924 Tm
0.406 0.576 0.159 Tm
0.094 0.076 0.659 Tm
0.594 0.841 0.576 Tm
0.094 0.924 0.341 Tm
0.906 0.341 0.076 Tm
0.594 0.159 0.424 Tm
0.582 0.906 0.194 Al
0.582 0.094 0.806 Al
0.082 0.694 0.594 Al
0.918 0.406 0.694 Al
0.918 0.594 0.306 Al
0.418 0.194 0.094 Al
0.418 0.806 0.906 Al
0.082 0.306 0.406 Al
```

Values from the calculation:
ρ, g cm⁻³: 6.53
E, eV for the cell shown: -81.4
M_tot, μB per formula unit: 0.00

2.
Compound: ZnCuIr2
Source: the Alexandria database
Functional: PBE-GGA
Structure: relaxed

```
ZnCuIr2
1.0
2.745 0.000 0.000
1.373 2.377 0.000
1.373 0.792 8.527
Zn Cu Ir
1 1 2
Direct
0.667 0.667 0.000 Zn
0.500 0.500 0.500 Cu
0.083 0.083 0.750 Ir
0.250 0.250 0.250 Ir
```

Values from the calculation:
ρ, g cm⁻³: 15.32
E, eV for the cell shown: -23.1
M_tot, μB per formula unit: 0.00

3.
Compound: ErMgScV
Source: the Alexandria database
Functional: PBE-GGA
Structure: relaxed

```
ErMgScV
1.0
-4.263 2.592 -0.713
-4.407 -1.936 1.495
-2.423 1.999 3.942
Sc Mg V Er
1 1 1 1
Direct
0.000 0.000 0.000 Sc
0.750 0.750 0.750 Mg
0.250 0.250 0.250 V
0.500 0.500 0.500 Er
```

Values from the calculation:
ρ, g cm⁻³: 5.27
E, eV for the cell shown: -21.0
M_tot, μB per formula unit: 3.34

4.
Compound: Sr2TcAgN
Source: the Alexandria database
Functional: PBE-GGA
Structure: relaxed

```
Sr2TcAgN
1.0
-1.216 -4.817 -2.289
-1.064 -2.082 4.945
-3.700 1.094 -0.336
Sr Tc Ag N
2 1 1 1
Direct
0.000 0.500 0.000 Sr
0.500 0.000 0.000 Sr
0.000 0.000 0.500 Tc
0.500 0.500 0.500 Ag
0.000 0.000 0.000 N
```

Values from the calculation:
Formation energy from raw total energies, eV/atom: -0.237
ρ, g cm⁻³: 5.66
M_tot, μB per formula unit: 0.00

5.
Compound: LiY2ThS4
Source: the Alexandria database
Functional: PBE-GGA
Structure: relaxed

```
LiY2ThS4
1.0
-1.484 0.808 3.528
1.675 -6.237 2.132
6.313 0.179 2.614
Li Y Th S
1 2 1 4
Direct
0.500 0.500 0.000 Li
0.000 0.000 0.000 Y
0.500 0.000 0.500 Y
0.000 0.500 0.500 Th
0.000 0.749 0.757 S
0.000 0.251 0.243 S
0.500 0.752 0.236 S
0.500 0.248 0.764 S
```

Values from the calculation:
Formation energy from raw total energies, eV/atom: -1.859
ρ, g cm⁻³: 5.26
M_tot, μB per formula unit: 0.00

6.
Compound: TaSbTe2
Source: the Alexandria database
Functional: PBE-GGA
Structure: relaxed

```
TaSbTe2
1.0
-4.280 0.340 6.130
-5.828 -4.018 2.428
7.054 0.753 -2.384
Sb Ta Te
1 1 2
Direct
0.750 0.250 0.500 Sb
0.250 0.750 0.500 Ta
0.085 0.085 0.000 Te
0.415 0.415 0.000 Te
```

Values from the calculation:
Formation energy from raw total energies, eV/atom: 0.132
ρ, g cm⁻³: 8.07
M_tot, μB per formula unit: 0.00

Question: Which value of ρ does entry 1 give?
Answer: 6.53 g cm⁻³

Question: Which value of M_tot does entry 5 give?
Answer: 0.00 μB per formula unit

Question: Number 5 is which compound?
Answer: LiY2ThS4

What did the sixth record say?
Compound: TaSbTe2
Source: the Alexandria database
Functional: PBE-GGA
Structure: relaxed

```
TaSbTe2
1.0
-4.280 0.340 6.130
-5.828 -4.018 2.428
7.054 0.753 -2.384
Sb Ta Te
1 1 2
Direct
0.750 0.250 0.500 Sb
0.250 0.750 0.500 Ta
0.085 0.085 0.000 Te
0.415 0.415 0.000 Te
```

Values from the calculation:
Formation energy from raw total energies, eV/atom: 0.132
ρ, g cm⁻³: 8.07
M_tot, μB per formula unit: 0.00